The following is a DFT calculation (PBE-GGA) of a relaxed KCu2Se2 crystal.

Unit cell a=6.4601 b=6.4601 c=6.4601 alpha=135.28 beta=135.28 gamma=65.10
With the nearest neighbours (Å) after each atom.
Fractional coordinates of all 5 atoms:
K1 0.0000 0.0000 0.0000  2 Cu 3.14
Cu1 0.2879 0.2879 0.0000  4 Se 2.49
Cu2 0.7121 0.7121 0.0000  4 Se 2.49
Se1 0.2500 0.7500 0.5000  4 Cu 2.49
Se2 0.7500 0.2500 0.5000  4 Cu 2.49

Values from the calculation:
As for the total magnetization: 0.0 μB per formula unit. The calculation puts the final energy at -3.5985 eV per atom.

=====

The following is a DFT calculation (PBE-GGA) of a relaxed KCuSe4 crystal.

Unit cell a=11.1732 b=11.1732 c=11.1732 alpha=150.79 beta=150.79 gamma=41.79
With the nearest neighbours (Å) after each atom.
Fractional coordinates of all 12 atoms:
K1 0.3750 0.6250 0.7500  12 Se 3.55-3.62
K2 0.6250 0.3750 0.2500  12 Se 3.55-3.62
Cu1 0.1250 0.8750 0.2500  4 Se 2.43
Cu2 0.8750 0.1250 0.7500  4 Se 2.43
Se1 0.2112 0.2510 0.5399  1 Se 2.37, 1 Cu 2.43
Se2 0.2112 0.6713 0.9601  1 Se 2.37, 1 Cu 2.43
Se3 0.2510 0.2112 0.0399  1 Se 2.37, 1 Cu 2.43
Se4 0.3287 0.7888 0.5399  1 Se 2.37, 1 Cu 2.43
Se5 0.6713 0.2112 0.4601  1 Se 2.37, 1 Cu 2.43
Se6 0.7490 0.7888 0.9601  1 Se 2.37, 1 Cu 2.43
Se7 0.7888 0.3287 0.0399  1 Se 2.37, 1 Cu 2.43
Se8 0.7888 0.7490 0.4601  1 Se 2.37, 1 Cu 2.43

Values from the calculation:
The excess energy over the best structure of this formula in the dataset is 0.00 kcal/mol of atoms. As for the total magnetization: 0.0 μB per formula unit.

=====

The following is a DFT calculation (PBE-GGA) of a relaxed KCu2Se crystal.

Unit cell a=5.8857 b=5.8857 c=2.7750 alpha=90.00 beta=90.00 gamma=120.12
With the nearest neighbours (Å) after each atom.
Fractional coordinates of all 4 atoms:
K1 0.0000 0.0000 0.0000  2 K 2.78, 2 Se 2.94
Cu1 0.0000 0.5000 0.5000  4 Cu 2.78-2.94
Cu2 0.5000 0.0000 0.5000  4 Cu 2.78-2.94
Se1 0.5000 0.5000 0.0000  2 Se 2.78, 2 K 2.94

Values from the calculation:
As for the total magnetization: 0.0 μB per formula unit. The calculation puts the final energy at -2.7046 eV per atom.

=====

The following is a DFT calculation (PBE-GGA) of a relaxed K2CuSe crystal.

Unit cell a=6.5855 b=6.5855 c=4.3314 alpha=90.09 beta=90.09 gamma=44.23
With the nearest neighbours (Å) after each atom.
Fractional coordinates of all 4 atoms:
K1 0.0000 0.0000 0.0000  3 Se 3.44-3.71, 4 Cu 3.54-3.55
K2 0.7133 0.7133 0.4991  2 Cu 3.30, 4 Se 3.47-3.48
Cu1 0.3923 0.3923 0.5014  2 Se 2.42
Se1 0.3044 0.3044 0.0006  2 Cu 2.42

Values from the calculation:
As for the total magnetization: 0.6 μB per formula unit. The calculation puts the final energy at -2.8742 eV per atom.